Compound: SrIn4CuAg2
Source: Alexandria
Functional: PBE
Structure: optimized geometry

Values from the calculation:
Its density of states at the Fermi level is 3.16 states/eV per cell. The space group is R-3m. The value obtained for the uncorrected energy is -23.30 eV/cell.

abc: 4.741 4.741 10.351
angles: 76.76 76.76 60.00
Fractional coordinates of all 8 atoms:
1 Sr 0.000 0.000 0.000
2 Cu 0.500 0.500 0.500
3 In 0.403 0.403 0.791
4 In 0.133 0.133 0.602
5 In 0.867 0.867 0.398
6 In 0.597 0.597 0.209
7 Ag 0.760 0.760 0.721
8 Ag 0.240 0.240 0.279